[1]
## Co3SnI9 (PBE)

Data for a geometry-optimized Co3SnI9 structure.

extended XYZ file:
```
26
Lattice="-8.3395 -3.7865 -4.2734 -5.5963 -7.8508 5.9261 -10.4003 5.6582 3.3310" Properties=species:S:1:pos:R:3 pbc="T T T"
Co -13.8761 -0.2261 1.2230
Co -9.9715 -6.2983 3.2905
Co -16.8023 -3.5142 1.9589
Co -10.1367 -3.0230 -3.3525
Co -7.8462 -2.5369 2.9207
Co -22.3087 -6.5683 4.2368
Sn -9.2018 1.0011 -0.3573
Sn -2.9788 -4.0185 2.8983
I -11.3360 -0.5605 1.3331
I -11.4401 -4.5451 -1.8147
I -14.6226 -2.6874 0.8953
I -5.7800 -3.3848 4.1178
I -16.2102 -8.4565 3.1183
I -10.7603 -8.1442 1.6949
I -9.4313 2.8024 2.1801
I -7.9510 -7.5033 4.3807
I -13.9577 -1.4458 6.3364
I -7.1595 -0.8944 1.0929
I -11.8848 -5.4260 4.6818
I -7.5981 -3.3700 -3.0409
I -9.1044 -4.4335 1.7403
I -18.5043 -1.6530 1.8760
I -16.4629 -4.2903 4.3386
I -9.3840 -1.6456 4.7711
I -14.6941 1.1435 3.1755
I -14.2609 1.0703 -0.9688
```

The calculation puts the raw formation energy at -0.097 eV per atom. The total energy is -3.117 eV per atom. For the density of states at the Fermi level, the calculation gives 24.1 states/eV per cell. The size of the total moment comes out at 10.1 μB/f.u.

***

[2]
## Th3Si2C (PBE)

Data for a geometry-optimized Th3Si2C structure.

extended XYZ file:
```
12
Lattice="-4.4200 2.6312 -2.9318 1.4143 -4.6196 -6.2781 -2.1767 -4.4344 5.2803" Properties=species:S:1:pos:R:3 pbc="T T T"
Si -2.2616 -3.9426 -0.1014
Si -2.9209 -2.4802 -3.8282
Si -1.5747 -6.2403 -3.2539
Si -3.6078 -0.1824 -0.6757
Th -1.1636 -1.2385 0.6530
Th -1.7415 0.0923 -2.9592
Th -0.4640 -3.5438 -2.4911
Th -4.7184 -2.8790 -1.4385
Th -1.2642 -2.0807 -6.2507
Th -4.0189 -5.1843 -4.5826
C -3.1829 -0.9385 -7.5234
C 0.1771 -1.0499 -1.6866
```

The calculation puts the raw formation energy at -0.411 eV per atom. The total energy is -7.465 eV per atom. For the density of states at the Fermi level, the calculation gives 4.3 states/eV per cell. The size of the total moment comes out at 0.0 μB/f.u.

***

[3]
## Sr2MgIn4Au3 (PBE)

Data for a geometry-optimized Sr2MgIn4Au3 structure.

extended XYZ file:
```
10
Lattice="-2.6197 -1.7057 3.3083 2.9702 -3.3962 0.6010 6.1399 6.8557 8.3967" Properties=species:S:1:pos:R:3 pbc="T T T"
Au 2.3379 -0.7459 1.4667
Au 3.0700 3.4278 4.1983
Au 3.9773 5.0506 8.8846
Mg 3.2452 0.8769 6.1530
In 2.6285 3.5446 7.0401
In 3.6867 0.7601 3.3112
In 0.0000 0.0000 0.0000
In 0.1752 -2.5510 1.9547
Sr 0.1702 0.7997 3.6782
Sr 6.1450 3.5050 6.6731
```

The total energy is -3.067 eV per atom. For the density of states at the Fermi level, the calculation gives 5.1 states/eV per cell. The size of the total moment comes out at 0.0 μB/f.u. For the formation enthalpy at 0 K, the calculation gives -0.492 eV per atom.

***

[4]
## La2AlCoAu (PBE)

Data for a geometry-optimized La2AlCoAu structure.

extended XYZ file:
```
5
Lattice="5.2616 0.0000 0.0000 0.0000 5.2616 0.0000 0.0000 0.0000 4.5808" Properties=species:S:1:pos:R:3 pbc="T T T"
La 2.6308 0.0000 0.0000
La 0.0000 2.6308 0.0000
Al 0.0000 0.0000 2.2904
Au 2.6308 2.6308 2.2904
Co 0.0000 0.0000 0.0000
```

The total energy is -5.224 eV per atom. For the density of states at the Fermi level, the calculation gives 3.7 states/eV per cell. The size of the total moment comes out at 0.0 μB/f.u. For the formation enthalpy at 0 K, the calculation gives -0.428 eV per atom.

***

[5]
## Mg2TlHg (PBE)

Data for a geometry-optimized Mg2TlHg structure.

extended XYZ file:
```
8
Lattice="-3.5314 -0.2134 -0.5482 -0.3311 -3.6097 3.5379 -1.5363 7.1235 7.1243" Properties=species:S:1:pos:R:3 pbc="T T T"
Tl -2.9643 1.5923 6.7861
Tl -2.4345 1.7081 3.3280
Hg -2.1970 -1.9655 3.2280
Hg -3.2018 5.2659 6.8861
Mg -1.6052 3.5843 8.9458
Mg -1.0791 3.7173 5.5047
Mg -0.2622 -0.0705 1.7165
Mg -0.7883 -0.2035 5.1575
```

The total energy is -1.596 eV per atom. For the density of states at the Fermi level, the calculation gives 2.5 states/eV per cell. The size of the total moment comes out at 0.0 μB/f.u. For the formation enthalpy at 0 K, the calculation gives -0.131 eV per atom.

***

[6]
## Tl3C4 (PBE)

Data for a geometry-optimized Tl3C4 structure.

extended XYZ file:
```
7
Lattice="-1.3716 1.3716 14.2680 1.3716 -1.3716 14.2680 1.3716 1.3716 -14.2680" Properties=species:S:1:pos:R:3 pbc="T T T"
C 0.0000 0.0000 11.4637
C 0.0000 0.0000 2.5657
C 0.0000 0.0000 25.9704
C 0.0000 0.0000 17.0724
Tl 0.0000 0.0000 0.0000
Tl 0.0000 0.0000 8.9372
Tl 0.0000 0.0000 19.5989
```

The total energy is -3.967 eV per atom. For the density of states at the Fermi level, the calculation gives 3.2 states/eV per cell. The size of the total moment comes out at 0.0 μB/f.u. For the formation enthalpy at 0 K, the calculation gives 2.318 eV per atom.

***

[7]
## SnPt6Au (PBE)

Data for a geometry-optimized SnPt6Au structure.

extended XYZ file:
```
8
Lattice="-1.9673 -0.3809 3.5236 -3.0729 -1.8247 -1.9129 3.4867 -7.1074 1.1785" Properties=species:S:1:pos:R:3 pbc="T T T"
Sn 0.0000 0.0000 0.0000
Au 1.7434 -3.5537 0.5892
Pt -0.6710 -2.6764 -0.6639
Pt 1.0849 -6.2557 -0.0705
Pt -2.5201 -1.1028 0.8054
Pt -0.1182 -1.9545 2.0543
Pt 1.6377 -5.5338 2.6478
Pt -0.7767 -4.6565 1.3946
```

The total energy is -5.591 eV per atom. For the density of states at the Fermi level, the calculation gives 10.7 states/eV per cell. The size of the total moment comes out at 0.0 μB/f.u. For the formation enthalpy at 0 K, the calculation gives -0.150 eV per atom.

***

[8]
## BiAsPBr2 (PBE)

Data for a geometry-optimized BiAsPBr2 structure.

extended XYZ file:
```
5
Lattice="-5.2040 -1.5172 -1.6496 0.6633 -5.0262 2.5302 -2.2431 2.2326 5.0231" Properties=species:S:1:pos:R:3 pbc="T T T"
Br -2.6020 -0.7586 -0.8248
Br 0.3317 -2.5131 1.2651
Bi 0.0000 0.0000 0.0000
As -1.1216 1.1163 2.5116
P -3.3919 -2.1554 2.9519
```

The calculation puts the raw formation energy at 0.679 eV per atom. The total energy is -2.778 eV per atom. For the density of states at the Fermi level, the calculation gives 0.8 states/eV per cell. The size of the total moment comes out at 1.0 μB/f.u.